(1)
Density functional theory data (PBE) for crystalline MoAs2PbN at its relaxed geometry.

Summary:
Energy relative to the elements, uncorrected, eV/atom: 2.9816
Magnetic moment, μB per cell: 0.40
Density, g/cm3: 5.2

POSCAR file:
```
MoAs2PbN
1.0
5.283 0.000 0.000
0.000 5.283 0.000
0.000 0.000 5.297
Mo As Pb N
1 2 1 1
Cartesian
0.000 0.000 0.000
0.000 2.642 2.648
2.642 0.000 2.648
0.000 0.000 2.648
2.642 2.642 0.000
```

(2)
Density functional theory data (PBE) for crystalline RbMo2AsN at its relaxed geometry.

Summary:
Energy relative to the elements, uncorrected, eV/atom: 3.2504
Magnetic moment, μB per cell: 7.38
Density, g/cm3: 4.8

POSCAR file:
```
RbMo2AsN
1.0
5.467 0.000 0.000
0.000 5.467 0.000
0.000 0.000 4.249
Rb Mo As N
1 2 1 1
Cartesian
0.000 0.000 0.000
0.000 2.734 0.000
2.734 0.000 0.000
2.734 2.734 2.124
0.000 0.000 2.124
```